Entry 1:
Entry from Alexandria: an optimized crystal structure of Sr2UTiO6 (PBE-GGA).

a b c (Å): 4.192 4.192 8.388
angles (deg): 90.00 90.00 90.00
Fractional coordinates of all 10 atoms:
Sr1 0.000 0.000 0.207
Sr2 0.000 0.000 0.793
U1 0.500 0.500 0.500
Ti1 0.500 0.500 0.000
O1 0.000 0.500 0.000
O2 0.000 0.500 0.500
O3 0.500 0.000 0.000
O4 0.500 0.000 0.500
O5 0.500 0.500 0.240
O6 0.500 0.500 0.760

Calculated values
- DFT total energy (eV/atom) = -8.270
- crystal system = tetragonal
- spin magnetization (μB per formula unit) = 1.95

Entry 2:
Entry from Alexandria: an optimized crystal structure of MgPCl (PBE-GGA).

a b c (Å): 8.060 8.060 8.060
angles (deg): 158.35 158.35 30.80
Fractional coordinates of all 3 atoms:
Mg1 0.000 0.000 0.000
P1 0.624 0.624 0.000
Cl1 0.406 0.406 0.000

Calculated values
- DFT total energy (eV/atom) = -3.412
- crystal system = tetragonal
- energy above the lowest structure with this stoichiometry (meV/atom) = 69
- spin magnetization (μB per formula unit) = 0.00

Entry 3:
Entry from Alexandria: an optimized crystal structure of LiNbH4 (PBE-GGA).

a b c (Å): 5.899 5.899 5.899
angles (deg): 30.48 30.48 30.48
Fractional coordinates of all 6 atoms:
Li1 0.000 0.000 0.000
Nb1 0.500 0.500 0.500
H1 0.120 0.120 0.120
H2 0.386 0.386 0.386
H3 0.614 0.614 0.614
H4 0.880 0.880 0.880

Calculated values
- DFT total energy (eV/atom) = -4.447
- crystal system = trigonal
- spin magnetization (μB per formula unit) = 0.00

Entry 4:
Entry from Alexandria: an optimized crystal structure of LiPmH2F8 (PBE-GGA).

a b c (Å): 4.246 4.640 7.442
angles (deg): 89.85 89.42 62.99
Fractional coordinates of all 12 atoms:
Li1 0.000 0.000 0.000
Pm1 0.000 0.000 0.500
H1 0.495 0.501 0.779
H2 0.505 0.499 0.221
F1 0.215 0.713 0.781
F2 0.225 0.709 0.217
F3 0.341 0.291 0.501
F4 0.348 0.166 0.020
F5 0.652 0.834 0.980
F6 0.659 0.709 0.499
F7 0.775 0.291 0.783
F8 0.785 0.287 0.219

Calculated values
- DFT total energy (eV/atom) = -4.669
- crystal system = triclinic
- spin magnetization (μB per formula unit) = 0.01

Entry 5:
Entry from Alexandria: an optimized crystal structure of RbFeCo (PBE-GGA).

a b c (Å): 3.690 3.690 11.668
angles (deg): 90.00 90.00 120.00
Fractional coordinates of all 6 atoms:
Rb1 0.000 0.000 0.000
Rb2 0.000 0.000 0.500
Fe1 0.333 0.667 0.250
Fe2 0.667 0.333 0.750
Co1 0.333 0.667 0.750
Co2 0.667 0.333 0.250

Calculated values
- DFT total energy (eV/atom) = -4.407
- crystal system = hexagonal
- energy above the lowest structure with this stoichiometry (meV/atom) = 591
- spin magnetization (μB per formula unit) = 0.00
- energy of formation from the pure elements (eV/atom) = 1.105

Entry 6:
Entry from Alexandria: an optimized crystal structure of RbBaCa2Hg (PBE-GGA).

a b c (Å): 6.223 6.223 6.613
angles (deg): 90.00 90.00 90.00
Fractional coordinates of all 5 atoms:
Rb1 0.000 0.000 0.000
Ba1 0.500 0.500 0.000
Ca1 0.000 0.500 0.500
Ca2 0.500 0.000 0.500
Hg1 0.500 0.500 0.500

Calculated values
- DFT total energy (eV/atom) = -1.535
- crystal system = tetragonal
- spin magnetization (μB per formula unit) = 0.00
- energy of formation from the pure elements (eV/atom) = -0.096